[1]
A plane-wave DFT calculation with GGA-PBE was carried out for a relaxed structure of LiBeHgPd.

Structure (CIF):
```
data_LiBeHgPd
_chemical_formula_sum 'Li4 Be4 Hg4 Pd4'
_symmetry_space_group_name_H-M 'F -4 3 m'
_symmetry_Int_Tables_number 216
_symmetry_space_group_name_Hall 'F -4 2 3'
_cell_length_a 6.040
_cell_length_b 6.040
_cell_length_c 6.040
_cell_angle_alpha 90.00
_cell_angle_beta 90.00
_cell_angle_gamma 90.00
loop_
_atom_site_label
_atom_site_fract_x
_atom_site_fract_y
_atom_site_fract_z
Li1 0.000 0.000 0.000
Be1 0.000 0.000 0.500
Hg1 0.250 0.250 0.750
Pd1 0.250 0.250 0.250
```

ΔE_f ... -0.234 eV/atom
Calculated volume ... 13.77 Å³ per atom
Fermi-level density of states ... 1.83 states/eV/f.u.

[2]
A plane-wave DFT calculation with GGA-PBE was carried out for a relaxed structure of InAg2BS4.

Structure (CIF):
```
data_InAg2BS4
_chemical_formula_sum 'In2 Ag4 B2 S8'
_symmetry_space_group_name_H-M 'I -4'
_symmetry_Int_Tables_number 82
_cell_length_a 5.683
_cell_length_b 5.683
_cell_length_c 10.244
_cell_angle_alpha 90.00
_cell_angle_beta 90.00
_cell_angle_gamma 90.00
loop_
_symmetry_equiv_pos_as_xyz
'x,y,z'
'y,-x,-z'
'-x,-y,z'
'-y,x,-z'
'x+1/2,y+1/2,z+1/2'
'y+1/2,-x+1/2,-z+1/2'
'-x+1/2,-y+1/2,z+1/2'
'-y+1/2,x+1/2,-z+1/2'
loop_
_atom_site_label
_atom_site_fract_x
_atom_site_fract_y
_atom_site_fract_z
In1 0.000 0.000 0.000
Ag1 0.000 0.000 0.500
Ag2 0.000 0.500 0.750
B1 0.000 0.500 0.250
S1 0.199 0.703 0.144
```

Formation energy from raw total energies ... -0.330 eV per atom
Calculated volume ... 20.68 Å³ per atom